(1)
An optimized crystal structure of HgPb3I2Br6. Source: the Alexandria database, functional GGA-PBE.

CIF file:
```
data_HgPb3I2Br6
_chemical_formula_sum 'Hg1 Pb3 I2 Br6'
_cell_length_a 6.947
_cell_length_b 8.823
_cell_length_c 8.822
_cell_angle_alpha 120.00
_cell_angle_beta 86.76
_cell_angle_gamma 90.00
_space_group_name_H-M_alt 'P 1'
_space_group_IT_number 1
loop_
_space_group_symop_operation_xyz
'x,y,z'
loop_
_atom_site_label
_atom_site_fract_x
_atom_site_fract_y
_atom_site_fract_z
I1 0.198 0.686 0.372
Pb1 0.000 0.500 0.000
Pb2 0.500 0.000 0.500
Br1 0.737 0.320 0.150
Br2 0.720 0.845 0.691
Br3 0.280 0.155 0.309
Br4 0.263 0.170 0.850
I2 0.802 0.314 0.628
Br5 0.263 0.680 0.850
Br6 0.737 0.830 0.150
Pb3 0.500 0.500 0.500
Hg1 0.500 0.000 0.000
```

## Properties
- DOS(E_F): 0.00 states/eV per cell
- E_form (uncorrected): -0.69 eV per atom


(2)
An optimized crystal structure of BaP3Se. Source: the Alexandria database, functional GGA-PBE.

CIF file:
```
data_BaP3Se
_chemical_formula_sum 'Ba1 P3 Se1'
_cell_length_a 5.799
_cell_length_b 5.799
_cell_length_c 5.799
_cell_angle_alpha 90.00
_cell_angle_beta 90.00
_cell_angle_gamma 90.00
_space_group_name_H-M_alt 'P 1'
_space_group_IT_number 1
loop_
_space_group_symop_operation_xyz
'x,y,z'
loop_
_atom_site_label
_atom_site_fract_x
_atom_site_fract_y
_atom_site_fract_z
P1 0.500 0.000 0.000
Se1 0.500 0.500 0.500
P2 0.000 0.000 0.500
Ba1 0.000 0.000 0.000
P3 0.000 0.500 0.000
```

## Properties
- DOS(E_F): 6.03 states/eV per cell
- E_form (uncorrected): 1.74 eV per atom
- Energy relative to the lowest polymorph listed for this composition: 1.529 eV per atom


(3)
An optimized crystal structure of SrPt2Cl8. Source: the Alexandria database, functional GGA-PBE.

CIF file:
```
data_SrPt2Cl8
_chemical_formula_sum 'Sr1 Pt2 Cl8'
_cell_length_a 5.481
_cell_length_b 7.583
_cell_length_c 8.861
_cell_angle_alpha 125.90
_cell_angle_beta 89.81
_cell_angle_gamma 88.88
_space_group_name_H-M_alt 'P 1'
_space_group_IT_number 1
loop_
_space_group_symop_operation_xyz
'x,y,z'
loop_
_atom_site_label
_atom_site_fract_x
_atom_site_fract_y
_atom_site_fract_z
Cl1 0.735 0.782 0.655
Pt1 0.752 0.794 0.397
Sr1 0.000 0.000 0.000
Cl2 0.244 0.826 0.414
Cl3 0.739 0.777 0.126
Cl4 0.261 0.223 0.874
Cl5 0.265 0.218 0.345
Cl6 0.756 0.174 0.586
Cl7 0.721 0.419 0.211
Pt2 0.248 0.206 0.603
Cl8 0.279 0.581 0.789
```

## Properties
- DOS(E_F): 9.43 states/eV per cell
- E_form (uncorrected): -0.87 eV per atom


(4)
An optimized crystal structure of Mg2Zn2CdAg4. Source: the Alexandria database, functional GGA-PBE.

CIF file:
```
data_Mg2Zn2CdAg4
_chemical_formula_sum 'Mg2 Zn2 Cd1 Ag4'
_cell_length_a 3.573
_cell_length_b 6.890
_cell_length_c 7.030
_cell_angle_alpha 105.31
_cell_angle_beta 90.00
_cell_angle_gamma 105.03
_space_group_name_H-M_alt 'P 1'
_space_group_IT_number 1
loop_
_space_group_symop_operation_xyz
'x,y,z'
loop_
_atom_site_label
_atom_site_fract_x
_atom_site_fract_y
_atom_site_fract_z
Zn1 0.322 0.644 0.986
Ag1 0.552 0.105 0.336
Ag2 0.448 0.895 0.664
Ag3 0.221 0.442 0.326
Zn2 0.678 0.356 0.014
Mg1 0.885 0.771 0.335
Mg2 0.115 0.229 0.665
Cd1 0.000 0.000 0.000
Ag4 0.779 0.558 0.674
```

## Properties
- DOS(E_F): 2.26 states/eV per cell


(5)
An optimized crystal structure of CuTePd4. Source: the Alexandria database, functional GGA-PBE.

CIF file:
```
data_CuTePd4
_chemical_formula_sum 'Cu4 Te4 Pd16'
_cell_length_a 4.089
_cell_length_b 7.663
_cell_length_c 12.302
_cell_angle_alpha 90.00
_cell_angle_beta 90.00
_cell_angle_gamma 90.00
_space_group_name_H-M_alt 'P 1'
_space_group_IT_number 1
loop_
_space_group_symop_operation_xyz
'x,y,z'
loop_
_atom_site_label
_atom_site_fract_x
_atom_site_fract_y
_atom_site_fract_z
Cu1 0.750 0.250 0.737
Te1 0.250 0.750 0.578
Pd1 0.750 0.010 0.910
Te2 0.750 0.250 0.422
Te3 0.250 0.250 0.922
Cu2 0.250 0.750 0.263
Pd2 0.250 0.750 0.911
Pd3 0.750 0.750 0.411
Pd4 0.750 0.990 0.590
Pd5 0.750 0.510 0.590
Pd6 0.250 0.490 0.410
Pd7 0.250 0.010 0.410
Pd8 0.250 0.990 0.090
Pd9 0.250 0.250 0.589
Pd10 0.250 0.500 0.750
Pd11 0.750 0.250 0.089
Pd12 0.250 0.510 0.090
Pd13 0.750 0.500 0.250
Pd14 0.750 0.490 0.910
Cu3 0.750 0.750 0.763
Cu4 0.250 0.250 0.237
Pd15 0.750 0.000 0.250
Te4 0.750 0.750 0.078
Pd16 0.250 0.000 0.750
```

## Properties
- DOS(E_F): 15.49 states/eV per cell
- E_form (uncorrected): -0.18 eV per atom
- Energy relative to the lowest polymorph listed for this composition: 0.000 eV per atom


(6)
An optimized crystal structure of Rb2Ba3US6. Source: the Alexandria database, functional GGA-PBE.

CIF file:
```
data_Rb2Ba3US6
_chemical_formula_sum 'Rb2 Ba3 U1 S6'
_cell_length_a 7.911
_cell_length_b 7.911
_cell_length_c 7.558
_cell_angle_alpha 100.42
_cell_angle_beta 100.42
_cell_angle_gamma 119.32
_space_group_name_H-M_alt 'P 1'
_space_group_IT_number 1
loop_
_space_group_symop_operation_xyz
'x,y,z'
loop_
_atom_site_label
_atom_site_fract_x
_atom_site_fract_y
_atom_site_fract_z
S1 0.637 0.922 0.762
S2 0.200 0.200 0.769
S3 0.922 0.637 0.762
Rb1 0.665 0.335 0.000
Ba1 0.170 0.830 0.500
Ba2 0.500 0.500 0.500
U1 0.000 0.000 0.000
S4 0.800 0.800 0.231
Rb2 0.335 0.665 0.000
S5 0.078 0.363 0.238
S6 0.363 0.078 0.238
Ba3 0.830 0.170 0.500
```

## Properties
- DOS(E_F): 6.53 states/eV per cell
- E_form (uncorrected): -1.66 eV per atom


(7)
An optimized crystal structure of PmInRuPt. Source: the Alexandria database, functional GGA-PBE.

CIF file:
```
data_PmInRuPt
_chemical_formula_sum 'Pm1 In1 Ru1 Pt1'
_cell_length_a 4.807
_cell_length_b 4.807
_cell_length_c 4.807
_cell_angle_alpha 60.00
_cell_angle_beta 60.00
_cell_angle_gamma 60.00
_space_group_name_H-M_alt 'P 1'
_space_group_IT_number 1
loop_
_space_group_symop_operation_xyz
'x,y,z'
loop_
_atom_site_label
_atom_site_fract_x
_atom_site_fract_y
_atom_site_fract_z
Ru1 0.750 0.750 0.750
Pm1 0.000 0.000 0.000
In1 0.500 0.500 0.500
Pt1 0.250 0.250 0.250
```

## Properties
- DOS(E_F): 1.50 states/eV per cell


| no. | uncorrected energy (eV per atom) |
| --- | --- |
| 1 | -2.737 |
| 2 | -2.585 |
| 3 | -3.464 |
| 4 | -2.110 |
| 5 | -4.852 |
| 6 | -5.309 |
| 7 | -6.134 |